1.
# AcLa7Pr3

A relaxed structure of AcLa7Pr3 (GGA-PBE, the Alexandria database).

```
11
Lattice="8.8876 0.0000 0.0000 0.0000 7.4526 0.0000 0.0000 -3.7263 6.4542" Properties=species:S:1:pos:R:3 pbc="T T T"
Pr 6.9809 5.5763 3.2195
Pr 6.9809 1.8764 3.2195
La 4.0535 5.5957 1.0721
La 4.0535 3.7263 4.3099
Ac 3.9074 0.0000 4.3028
La 1.1350 3.7263 2.1514
La 4.0535 1.8570 1.0721
La 0.9572 0.0000 2.1273
La 0.9572 -1.8841 5.3906
La 0.9572 1.8841 5.3906
Pr 6.9809 3.7263 0.0153
```

Results
Energy: -4.66 eV per atom
Spin magnetization: 0.000 μB per atom
SG: P3m1 (156)



2.
# Ac2Sn4Ir5

A relaxed structure of Ac2Sn4Ir5 (GGA-PBE, the Alexandria database).

```
11
Lattice="5.9858 0.0000 0.0000 2.9929 5.1600 0.0000 2.9929 0.0000 8.0937" Properties=species:S:1:pos:R:3 pbc="T T T"
Ir 7.4822 2.5800 4.0469
Sn 5.9858 1.6706 6.0132
Ir 1.4964 2.5800 0.0000
Ac 2.9929 0.0000 6.1140
Ac 5.9858 0.0000 1.9798
Ir 4.4893 2.5800 0.0000
Sn 2.9929 1.6706 2.0805
Sn 5.9858 3.4894 2.0805
Ir 4.4893 2.5800 4.0469
Sn 8.9787 3.4894 6.0132
Ir 2.9929 0.0000 0.0000
```

Results
Energy: -6.66 eV per atom
Spin magnetization: 0.000 μB per atom
SG: Fmmm (69)



Question: Look up the energy of the first one.
Answer: -4.66 eV per atom



Question: Which formula does entry 2 have?
Answer: Ac2Sn4Ir5